Entry 1:
First-principles (PBE) data for a relaxed structure of BaZn2SiP, as listed in OQMD.

Properties
**Space group**: I4mm (107)
**V**: 21.18 A^3/atom
**VASP energy**: -3.410 eV/atom

Cell: 6.5116 6.5116 6.5116 Å, 141.57 141.57 55.48°
Atoms (fractional coordinates):
P1 0.3767 0.3767 0.0000
Zn1 0.2463 0.7463 0.5000
Zn2 0.7463 0.2463 0.5000
Si1 0.6331 0.6331 0.0000
Ba1 0.9977 0.9977 0.0000

---

Entry 2:
First-principles (PBE) data for a relaxed structure of LuI, as listed in OQMD.

Properties
**Space group**: F-43m (216)
**V**: 38.85 A^3/atom
**VASP energy**: -2.901 eV/atom

Cell: 4.7896 4.7896 4.7896 Å, 60.00 60.00 60.00°
Atoms (fractional coordinates):
Lu1 0.2500 0.2500 0.2500
I1 0.0000 0.0000 0.0000

---

The lowest VASP energy belongs to which entry?
BaZn2SiP